Record 1
# PmIn4Ir

A relaxed PmIn4Ir crystal (PBE-GGA, Alexandria).

## Properties
Calculated formation energy   -2.14 eV/f.u.
Space-group type   No. 51
Fermi-level density of states   1.64 states/eV/f.u.

Cell: 4.3986 7.4691 8.5708 Å, 90.00 90.00 90.00°
Last column: nearest neighbours and their distance in Å.
Fractional coordinates of all 12 atoms:
In1 0.5000 0.0616 0.2500  2 Ir 2.98, 8 In 3.10-3.30, 2 Pm 3.30
In2 0.5000 0.3177 0.9366  2 Ir 2.84, 1 In 2.93
In3 0.5000 0.6823 0.0634  2 Ir 2.84, 1 In 2.93
Ir1 0.0000 0.7933 0.2500  6 In 2.64-2.84
Ir2 0.0000 0.2067 0.7500  6 In 2.64-2.84
In4 0.0000 0.0000 0.0000  2 Ir 2.64
Pm1 0.0000 0.6085 0.7500  1 Ir 3.00, 2 In 3.30
In5 0.5000 0.9384 0.7500  2 Ir 2.98, 8 In 3.10-3.30, 2 Pm 3.30
In6 0.0000 0.0000 0.5000  2 Ir 2.64
In7 0.5000 0.3177 0.5634  2 Ir 2.84, 1 In 2.93
Pm2 0.0000 0.3915 0.2500  1 Ir 3.00, 2 In 3.30
In8 0.5000 0.6823 0.4366  2 Ir 2.84, 1 In 2.93

=====

Record 2
# PtSe2IN

A relaxed PtSe2IN crystal (PBE-GGA, Alexandria).

## Properties
Formation energy without anion corrections   669 meV/atom
Space-group type   No. 123
Fermi-level density of states   3.52 states/eV/f.u.

Cell: 5.3533 5.3533 3.7225 Å, 90.00 90.00 90.00°
Last column: nearest neighbours and their distance in Å.
Fractional coordinates of all 5 atoms:
N1 0.0000 0.0000 0.5000  2 Pt 1.86
Se1 0.5000 0.0000 0.0000  2 Pt 2.68
Se2 0.0000 0.5000 0.0000  2 Pt 2.68
I1 0.5000 0.5000 0.5000  8 Se 3.26
Pt1 0.0000 0.0000 0.0000  2 N 1.86

=====

Record 3
# Ni2OsSe

A relaxed Ni2OsSe crystal (PBE-GGA, Alexandria).

## Properties
Formation energy without anion corrections   406 meV/atom
Space-group type   No. 119
Fermi-level density of states   3.44 states/eV/f.u.

Cell: 4.3405 4.3405 4.3405 Å, 125.40 125.40 80.88°
Last column: nearest neighbours and their distance in Å.
Fractional coordinates of all 4 atoms:
Ni1 0.2500 0.7500 0.5000  4 Ni 2.59, 4 Os 2.59, 4 Se 2.82
Ni2 0.0000 0.0000 0.0000  4 Ni 2.59, 4 Se 2.59, 4 Os 2.82
Os1 0.5000 0.5000 0.0000  4 Se 2.59, 8 Ni 2.59-2.82
Se1 0.7500 0.2500 0.5000  4 Os 2.59, 8 Ni 2.59-2.82

=====

Record 4
# BeTeH

A relaxed BeTeH crystal (PBE-GGA, Alexandria).

## Properties
Space-group type   No. 1

Cell: 4.0898 4.9250 5.5628 Å, 77.06 78.97 78.03°
Last column: nearest neighbours and their distance in Å.
Fractional coordinates of all 6 atoms:
H1 0.3807 0.1508 0.8733  1 Be 1.50
H2 0.8378 0.2079 0.0979  2 Be 1.44-1.45
Be1 0.7988 0.3045 0.3293  1 H 1.44
Be2 0.0912 0.9970 0.9916  2 H 1.45-1.50
Te1 0.2225 0.5909 0.3200  3 Be 2.43-2.49
Te2 0.7484 0.9151 0.6950  1 H 1.95

=====

Record 5
# LaBe2CoN

A relaxed LaBe2CoN crystal (PBE-GGA, Alexandria).

## Properties
Formation energy without anion corrections   596 meV/atom
Space-group type   No. 123
Fermi-level density of states   1.79 states/eV/f.u.

Cell: 3.9120 3.9120 5.3504 Å, 90.00 90.00 90.00°
Last column: nearest neighbours and their distance in Å.
Fractional coordinates of all 5 atoms:
Be1 0.0000 0.5000 0.0000  2 Co 1.96
Co1 0.0000 0.0000 0.0000  4 Be 1.96
La1 0.0000 0.0000 0.5000  2 Co 2.68, 4 N 2.77
Be2 0.5000 0.0000 0.0000  2 Co 1.96
N1 0.5000 0.5000 0.5000  4 La 2.77

=====

Record 6
# MnCd2As

A relaxed MnCd2As crystal (PBE-GGA, Alexandria).

## Properties
Calculated formation energy   0.78 eV/f.u.
Space-group type   No. 71
Fermi-level density of states   1.78 states/eV/f.u.

Cell: 5.6256 5.6256 5.6256 Å, 138.42 138.53 60.18°
Last column: nearest neighbours and their distance in Å.
Fractional coordinates of all 4 atoms:
Cd1 0.9999 0.9999 0.0000  4 Cd 2.82, 4 As 3.14-3.15, 4 Mn 3.15
Mn1 0.7500 0.2500 0.5000  4 As 2.82, 8 Cd 3.15
As1 0.2500 0.7500 0.5000  4 Mn 2.82, 8 Cd 3.14-3.15
Cd2 0.5001 0.5001 0.0000  4 Cd 2.82, 4 As 3.14-3.15, 4 Mn 3.15

=====

Computed calculated volume (Å³ per cell) in order:
281.6 106.7 52.4 105.6 81.9 77.4
Computed M_tot (μB per atom) in order:
0.000 0.000 0.000 0.000 0.184 0.915
Computed raw total energy (eV/atom) in order:
-4.451 -3.908 -6.163 -3.432 -4.966 -3.717